DFT (PBE) results for Tc2HgIr after structural relaxation.

## Properties
total energy = -7.02 eV per atom
total magnetization = 0.0 μB/cell

CIF file:
```
data_Tc2HgIr
_symmetry_space_group_name_H-M 'I -4 m 2'
_symmetry_Int_Tables_number 119
_symmetry_space_group_name_Hall 'I -4 -2'
_cell_length_a 3.9589
_cell_length_b 3.9589
_cell_length_c 8.0588
_cell_angle_alpha 90.00
_cell_angle_beta 90.00
_cell_angle_gamma 90.00
loop_
_atom_site_label
_atom_site_fract_x
_atom_site_fract_y
_atom_site_fract_z
_atom_site_occupancy
Tc1 0.0000 0.0000 0.0000 1
Tc2 0.0000 0.5000 0.2500 1
Hg1 0.0000 0.5000 0.7500 1
Ir1 0.0000 0.0000 0.5000 1
```